! PBE Bi2RhPb8, optimized geometry; values from VASP
&SYSTEM
  ibrav = 0, nat = 11, ntyp = 3
/
ATOMIC_SPECIES
Bi 208.98 Bi.upf
Pb 207.20 Pb.upf
Rh 102.91 Rh.upf
CELL_PARAMETERS angstrom
5.326 0.000 0.000
0.000 7.160 -0.372
-2.663 -3.489 9.031
ATOMIC_POSITIONS crystal
Bi 0.166 0.719 0.333
Bi 0.834 0.281 0.667
Pb 0.358 0.026 0.717
Pb 0.211 0.313 0.422
Pb 0.007 0.786 0.014
Pb 0.642 0.974 0.283
Pb 0.398 0.586 0.796
Pb 0.993 0.214 0.986
Pb 0.789 0.687 0.578
Pb 0.602 0.414 0.204
Rh 0.500 0.000 0.000
! E above lowest polymorph in eV/atom: 0.000
! Space group: No. 12
! Calculated volume in Å³/atom: 30.679
! Total DFT energy (no corrections) in eV/atom: -4.028

=====

! PBE BiRhPb, optimized geometry; values from VASP
&SYSTEM
  ibrav = 0, nat = 9, ntyp = 3
/
ATOMIC_SPECIES
Bi 208.98 Bi.upf
Pb 207.20 Pb.upf
Rh 102.91 Rh.upf
CELL_PARAMETERS angstrom
4.456 0.000 -1.301
-0.802 6.084 -2.745
0.015 0.047 8.332
ATOMIC_POSITIONS crystal
Bi 0.330 0.363 0.660
Bi 0.670 0.703 0.340
Bi 0.000 0.502 0.000
Pb 0.337 0.861 0.675
Pb 0.000 0.011 0.000
Pb 0.663 0.186 0.325
Rh 0.832 0.112 0.665
Rh 0.500 0.752 0.000
Rh 0.168 0.448 0.335
! Space group: No. 44
! Calculated volume in Å³/atom: 25.178
! Total DFT energy (no corrections) in eV/atom: -5.068

=====

! PBE Bi2Rh3Pb2, optimized geometry; values from VASP
&SYSTEM
  ibrav = 0, nat = 14, ntyp = 3
/
ATOMIC_SPECIES
Pb 207.20 Pb.upf
Bi 208.98 Bi.upf
Rh 102.91 Rh.upf
CELL_PARAMETERS angstrom
-0.177 -7.136 0.473
7.033 -0.157 0.256
2.644 0.373 6.613
ATOMIC_POSITIONS crystal
Pb 0.342 0.108 0.127
Pb 0.158 0.608 0.127
Pb 0.658 0.892 0.873
Pb 0.842 0.392 0.873
Bi 0.329 0.667 0.629
Bi 0.171 0.167 0.629
Bi 0.671 0.333 0.371
Bi 0.829 0.833 0.371
Rh 0.998 0.793 0.721
Rh 0.500 0.500 0.000
Rh 0.002 0.207 0.279
Rh 0.498 0.707 0.279
Rh 0.502 0.293 0.721
Rh 0.000 0.000 0.000
! E above lowest polymorph in eV/atom: 0.000
! Space group: No. 14
! Calculated volume in Å³/atom: 23.479
! Total DFT energy (no corrections) in eV/atom: -5.424

=====

! PBE Bi2RhPb, optimized geometry; values from VASP
&SYSTEM
  ibrav = 0, nat = 8, ntyp = 3
/
ATOMIC_SPECIES
Bi 208.98 Bi.upf
Rh 102.91 Rh.upf
Pb 207.20 Pb.upf
CELL_PARAMETERS angstrom
6.490 0.000 0.000
0.000 6.490 0.000
3.245 3.245 6.788
ATOMIC_POSITIONS crystal
Bi 0.559 0.125 0.250
Bi 0.191 0.625 0.250
Bi 0.375 0.441 0.750
Bi 0.875 0.809 0.750
Rh 0.500 0.500 0.000
Rh 0.250 0.750 0.500
Pb 0.000 0.000 0.000
Pb 0.750 0.250 0.500
! Space group: No. 122
! Calculated volume in Å³/atom: 35.735
! Total DFT energy (no corrections) in eV/atom: -4.505

=====

! PBE BiRhPb2, optimized geometry; values from VASP
&SYSTEM
  ibrav = 0, nat = 8, ntyp = 3
/
ATOMIC_SPECIES
Pb 207.20 Pb.upf
Bi 208.98 Bi.upf
Rh 102.91 Rh.upf
CELL_PARAMETERS angstrom
-3.672 5.111 -0.168
-2.947 -1.946 5.211
1.412 5.105 6.508
ATOMIC_POSITIONS crystal
Pb 0.375 0.441 0.750
Pb 0.875 0.809 0.750
Pb 0.191 0.625 0.250
Pb 0.559 0.125 0.250
Bi 0.750 0.250 0.500
Bi 0.000 0.000 0.000
Rh 0.250 0.750 0.500
Rh 0.500 0.500 0.000
! Space group: No. 122
! Calculated volume in Å³/atom: 35.239
! Total DFT energy (no corrections) in eV/atom: -4.329

=====

! PBE Bi2RhPb, optimized geometry; values from VASP
&SYSTEM
  ibrav = 0, nat = 4, ntyp = 3
/
ATOMIC_SPECIES
Rh 102.91 Rh.upf
Bi 208.98 Bi.upf
Pb 207.20 Pb.upf
CELL_PARAMETERS angstrom
3.352 0.000 0.000
1.676 2.903 0.000
1.676 0.968 11.364
ATOMIC_POSITIONS crystal
Rh 0.000 0.000 0.000
Bi 0.923 0.923 0.232
Bi 0.077 0.077 0.768
Pb 0.500 0.500 0.500
! Space group: No. 166
! Calculated volume in Å³/atom: 27.639
! Total DFT energy (no corrections) in eV/atom: -4.299

=====

! PBE Bi2Rh3Pb2, optimized geometry; values from VASP
&SYSTEM
  ibrav = 0, nat = 7, ntyp = 3
/
ATOMIC_SPECIES
Pb 207.20 Pb.upf
Rh 102.91 Rh.upf
Bi 208.98 Bi.upf
CELL_PARAMETERS angstrom
3.770 0.003 0.001
-1.872 6.821 0.607
-0.001 -0.428 6.320
ATOMIC_POSITIONS crystal
Pb 0.893 0.791 0.625
Pb 0.107 0.209 0.375
Rh 0.000 0.000 0.000
Rh 0.247 0.495 0.675
Rh 0.753 0.505 0.325
Bi 0.352 0.703 0.072
Bi 0.648 0.297 0.928
! E above lowest polymorph in eV/atom: 0.074
! Space group: No. 2
! Calculated volume in Å³/atom: 23.363
! Total DFT energy (no corrections) in eV/atom: -5.350

=====

! PBE Bi2RhPb, optimized geometry; values from VASP
&SYSTEM
  ibrav = 0, nat = 4, ntyp = 3
/
ATOMIC_SPECIES
Pb 207.20 Pb.upf
Bi 208.98 Bi.upf
Rh 102.91 Rh.upf
CELL_PARAMETERS angstrom
4.463 0.000 0.000
2.232 3.865 0.000
2.232 1.288 6.650
ATOMIC_POSITIONS crystal
Pb 0.508 0.508 0.476
Bi 0.275 0.275 0.175
Bi 0.057 0.057 0.828
Rh 0.660 0.660 0.021
! Space group: No. 160
! Calculated volume in Å³/atom: 28.680
! Total DFT energy (no corrections) in eV/atom: -4.722

=====

! PBE Bi2RhPb, optimized geometry; values from VASP
&SYSTEM
  ibrav = 0, nat = 8, ntyp = 3
/
ATOMIC_SPECIES
Bi 208.98 Bi.upf
Rh 102.91 Rh.upf
Pb 207.20 Pb.upf
CELL_PARAMETERS angstrom
-2.494 3.231 -0.524
-3.394 -4.937 1.726
1.072 2.179 8.339
ATOMIC_POSITIONS crystal
Bi 0.648 0.294 0.055
Bi 0.352 0.706 0.555
Bi 0.648 0.294 0.445
Bi 0.352 0.706 0.945
Rh 0.252 0.505 0.250
Rh 0.748 0.495 0.750
Pb 0.074 0.145 0.750
Pb 0.926 0.855 0.250
! Space group: No. 11
! Calculated volume in Å³/atom: 26.322
! Total DFT energy (no corrections) in eV/atom: -4.809

=====

! PBE Bi4Rh4Pb3, optimized geometry; values from VASP
&SYSTEM
  ibrav = 0, nat = 11, ntyp = 3
/
ATOMIC_SPECIES
Pb 207.20 Pb.upf
Bi 208.98 Bi.upf
Rh 102.91 Rh.upf
CELL_PARAMETERS angstrom
-2.097 2.826 0.726
-0.145 -2.226 8.252
7.857 4.346 -3.117
ATOMIC_POSITIONS crystal
Pb 0.905 0.905 0.811
Pb 0.095 0.095 0.189
Pb 0.000 0.500 0.000
Bi 0.334 0.530 0.668
Bi 0.666 0.862 0.332
Bi 0.334 0.138 0.668
Bi 0.666 0.470 0.332
Rh 0.752 0.252 0.504
Rh 0.248 0.748 0.496
Rh 0.500 0.777 0.000
Rh 0.500 0.223 0.000
! Space group: No. 71
! Calculated volume in Å³/atom: 23.169
! Total DFT energy (no corrections) in eV/atom: -5.124

=====

! PBE BiRhPb, optimized geometry; values from VASP
&SYSTEM
  ibrav = 0, nat = 3, ntyp = 3
/
ATOMIC_SPECIES
Pb 207.20 Pb.upf
Rh 102.91 Rh.upf
Bi 208.98 Bi.upf
CELL_PARAMETERS angstrom
-1.627 -2.895 0.616
2.275 -0.774 2.374
-3.979 4.843 2.990
ATOMIC_POSITIONS crystal
Pb 0.033 0.033 0.066
Rh 0.673 0.673 0.346
Bi 0.294 0.294 0.588
! Space group: No. 107
! Calculated volume in Å³/atom: 24.803
! Total DFT energy (no corrections) in eV/atom: -5.047

=====

! PBE BiRhPb, optimized geometry; values from VASP
&SYSTEM
  ibrav = 0, nat = 3, ntyp = 3
/
ATOMIC_SPECIES
Pb 207.20 Pb.upf
Rh 102.91 Rh.upf
Bi 208.98 Bi.upf
CELL_PARAMETERS angstrom
-5.201 -3.178 -1.293
0.606 -2.204 2.980
-2.016 3.147 0.371
ATOMIC_POSITIONS crystal
Pb 0.720 0.667 0.333
Rh 0.008 0.000 0.000
Bi 0.272 0.333 0.667
! Space group: No. 156
! Calculated volume in Å³/atom: 25.374
! Total DFT energy (no corrections) in eV/atom: -5.014